No. 1
First-principles (PBE) data for a relaxed KIn8Hg2 crystal, as listed in Alexandria via LeMat-Bulk.

Geometry as POSCAR:
```
KIn8Hg2
1.0
5.580 0.000 0.000
0.000 5.580 0.000
0.000 0.000 11.200
K In Hg
1 8 2
Direct
0.000 0.000 0.000
0.000 0.500 0.213
0.000 0.500 0.500
0.000 0.500 0.787
0.500 0.000 0.213
0.500 0.000 0.500
0.500 0.000 0.787
0.500 0.500 0.350
0.500 0.500 0.650
0.000 0.000 0.346
0.000 0.000 0.654
```

Properties
Formation energy from the elements ... 1.86 kJ per mole of atoms
M_tot ... 0.0 μB/cell
Fermi-level density of states ... 4.55 states/eV per cell
Energy relative to the lowest polymorph listed for this composition ... 0.00 eV per formula unit



No. 2
First-principles (PBE) data for a relaxed HRuN2O crystal, as listed in Alexandria via LeMat-Bulk.

Geometry as POSCAR:
```
HRuN2O
1.0
2.991 0.000 0.000
0.000 2.991 0.000
0.000 0.000 4.248
H Ru N O
1 1 2 1
Direct
0.000 0.000 0.000
0.500 0.500 0.500
0.000 0.500 0.000
0.500 0.000 0.000
0.000 0.000 0.500
```

Properties
Total DFT energy (no corrections) ... -5.25 eV per atom
M_tot ... 0.7 μB/cell
Fermi-level density of states ... 3.25 states/eV per cell



No. 3
First-principles (PBE) data for a relaxed SiCl crystal, as listed in Alexandria via LeMat-Bulk.

Geometry as POSCAR:
```
SiCl
1.0
0.000 2.862 2.862
2.862 0.000 2.862
2.862 2.862 0.000
Si Cl
1 1
Direct
0.000 0.000 0.000
0.500 0.500 0.500
```

Properties
M_tot ... 0.0 μB/cell
Fermi-level density of states ... 1.33 states/eV per cell
Energy relative to the lowest polymorph listed for this composition ... 2.61 eV per formula unit
Energy relative to the elements, uncorrected ... 122 kJ/mol of formula units



No. 4
First-principles (PBE) data for a relaxed Y12Tm2Sc5 crystal, as listed in Alexandria via LeMat-Bulk.

Geometry as POSCAR:
```
Y12Tm2Sc5
1.0
7.936 -4.364 0.000
7.936 4.364 0.000
-0.161 0.000 8.425
Y Tm Sc
12 2 5
Direct
0.055 0.055 0.271
0.098 0.685 0.386
0.111 0.517 0.775
0.315 0.902 0.614
0.334 0.334 0.129
0.483 0.889 0.225
0.517 0.111 0.775
0.666 0.666 0.871
0.685 0.098 0.386
0.889 0.483 0.225
0.902 0.315 0.614
0.945 0.945 0.729
0.286 0.714 0.000
0.714 0.286 0.000
0.146 0.146 0.940
0.257 0.257 0.450
0.500 0.500 0.500
0.743 0.743 0.550
0.854 0.854 0.060
```

Properties
Formation energy from the elements ... 15.42 kJ per mole of atoms
M_tot ... 0.0 μB/cell
Fermi-level density of states ... 32.59 states/eV per cell



No. 5
First-principles (PBE) data for a relaxed CaTlTe2 crystal, as listed in Alexandria via LeMat-Bulk.

Geometry as POSCAR:
```
CaTlTe2
1.0
4.527 0.000 0.000
0.000 2.120 7.070
0.000 -2.120 7.070
Ca Tl Te
1 1 2
Direct
0.000 0.000 0.000
0.500 0.232 0.232
0.000 0.684 0.684
0.500 0.443 0.443
```

Properties
M_tot ... 0.0 μB/cell
Fermi-level density of states ... 0.87 states/eV per cell
Energy relative to the elements, uncorrected ... -316 kJ/mol of formula units



No. 6
First-principles (PBE) data for a relaxed WCl2 crystal, as listed in Alexandria via LeMat-Bulk.

Geometry as POSCAR:
```
WCl2
1.0
4.289 0.000 0.000
-2.145 3.715 0.000
0.000 0.000 8.416
W Cl
2 4
Direct
0.333 0.667 0.250
0.667 0.333 0.750
0.000 0.000 0.000
0.000 0.000 0.500
0.333 0.667 0.750
0.667 0.333 0.250
```

Properties
M_tot ... 7.8 μB/cell
Fermi-level density of states ... 4.97 states/eV per cell
Energy relative to the lowest polymorph listed for this composition ... 4.92 eV per formula unit
Energy relative to the elements, uncorrected ... 264 kJ/mol of formula units



No. 7
First-principles (PBE) data for a relaxed PO2F2 crystal, as listed in Alexandria via LeMat-Bulk.

Geometry as POSCAR:
```
PO2F2
1.0
3.807 0.000 0.000
0.000 3.807 0.000
0.000 0.000 3.636
P O F
1 2 2
Direct
0.000 0.000 0.000
0.500 0.500 0.000
0.500 0.500 0.500
0.000 0.500 0.500
0.500 0.000 0.500
```

Properties
M_tot ... 0.0 μB/cell
Fermi-level density of states ... 2.26 states/eV per cell
Energy relative to the lowest polymorph listed for this composition ... 8.26 eV per formula unit
Energy relative to the elements, uncorrected ... 362 kJ/mol of formula units



No. 8
First-principles (PBE) data for a relaxed CaAg3W crystal, as listed in Alexandria via LeMat-Bulk.

Geometry as POSCAR:
```
CaAg3W
1.0
5.118 0.000 0.000
0.000 5.118 0.000
0.000 0.000 5.118
Ca Ag W
1 3 1
Direct
0.000 0.000 0.000
0.000 0.500 0.500
0.500 0.000 0.500
0.500 0.500 0.000
0.500 0.500 0.500
```

Properties
Formation energy from the elements ... 99.75 kJ per mole of atoms
M_tot ... 0.1 μB/cell
Fermi-level density of states ... 5.96 states/eV per cell
Energy relative to the lowest polymorph listed for this composition ... 0.00 eV per formula unit



No. 9
First-principles (PBE) data for a relaxed Nd2Rh4C crystal, as listed in Alexandria via LeMat-Bulk.

Geometry as POSCAR:
```
Nd2Rh4C
1.0
-2.086 2.086 7.382
2.086 -2.086 7.382
2.086 2.086 -7.382
Nd Rh C
2 4 1
Direct
0.159 0.159 0.000
0.841 0.841 0.000
0.000 0.500 0.500
0.363 0.363 0.000
0.500 0.000 0.500
0.637 0.637 0.000
0.500 0.500 0.000
```

Properties
Formation energy from the elements ... -35.08 kJ per mole of atoms
M_tot ... 0.0 μB/cell
Fermi-level density of states ... 2.02 states/eV per cell



No. 10
First-principles (PBE) data for a relaxed MgN2Cl crystal, as listed in Alexandria via LeMat-Bulk.

Geometry as POSCAR:
```
MgN2Cl
1.0
-2.242 2.242 5.447
2.242 -2.242 5.447
2.242 2.242 -5.447
Mg N Cl
2 4 2
Direct
0.000 0.000 0.000
0.750 0.250 0.500
0.148 0.625 0.023
0.375 0.398 0.523
0.602 0.125 0.977
0.875 0.852 0.477
0.250 0.750 0.500
0.500 0.500 0.000
```

Properties
M_tot ... 0.0 μB/cell
Fermi-level density of states ... 1.73 states/eV per cell
Energy relative to the lowest polymorph listed for this composition ... 1.69 eV per formula unit
Energy relative to the elements, uncorrected ... 491 kJ/mol of formula units



No. 11
First-principles (PBE) data for a relaxed NaTcO3 crystal, as listed in Alexandria via LeMat-Bulk.

Geometry as POSCAR:
```
NaTcO3
1.0
3.019 0.000 0.000
0.000 6.504 0.000
0.000 0.000 7.812
Na Tc O
2 2 6
Direct
0.250 0.250 0.157
0.750 0.750 0.843
0.250 0.250 0.693
0.750 0.750 0.307
0.250 0.027 0.824
0.250 0.250 0.473
0.250 0.473 0.824
0.750 0.527 0.176
0.750 0.750 0.527
0.750 0.973 0.176
```

Properties
M_tot ... 0.0 μB/cell
Fermi-level density of states ... 3.32 states/eV per cell
Energy relative to the elements, uncorrected ... -647 kJ/mol of formula units



No. 12
First-principles (PBE) data for a relaxed Sr3Al2Cd9 crystal, as listed in Alexandria via LeMat-Bulk.

Geometry as POSCAR:
```
Sr3Al2Cd9
1.0
-2.377 5.416 7.076
2.377 -5.416 7.076
2.377 5.416 -7.076
Sr Al Cd
3 2 9
Direct
0.000 0.000 0.000
0.308 0.308 0.000
0.692 0.692 0.000
0.292 0.500 0.792
0.708 0.500 0.208
0.029 0.665 0.364
0.156 0.872 0.284
0.301 0.665 0.636
0.411 0.128 0.284
0.500 0.000 0.500
0.589 0.872 0.716
0.699 0.335 0.364
0.844 0.128 0.716
0.971 0.335 0.636
```

Properties
Formation energy from the elements ... -22.21 kJ per mole of atoms
M_tot ... 0.0 μB/cell
Fermi-level density of states ... 4.62 states/eV per cell